[1]
Entry from the Alexandria database: crystalline AcPm2Y6Ho at its relaxed geometry (PBE).

space group = C2/c, No. 15
formation energy = 124 meV/atom
crystal system = monoclinic

a b c (Å): 9.6885 8.9676 8.9676
angles (deg): 117.85 93.19 93.19
Last column: nearest neighbours and their distance in Å.
Fractional coordinates of all 20 atoms:
1 Ac 0.2500 0.9735 0.0265  4 Pm 3.45-3.56, 4 Y 3.68-3.84
2 Ac 0.7500 0.0265 0.9735  4 Pm 3.45-3.56, 4 Y 3.68-3.84
3 Pm 0.4506 0.8012 0.6893  6 Y 3.30-3.60, 2 Ac 3.45-3.56, 1 Ho 3.60
4 Pm 0.0494 0.3107 0.1988  6 Y 3.30-3.60, 2 Ac 3.45-3.56, 1 Ho 3.60
5 Pm 0.5494 0.1988 0.3107  6 Y 3.30-3.60, 2 Ac 3.45-3.56, 1 Ho 3.60
6 Pm 0.9506 0.6893 0.8012  6 Y 3.30-3.60, 2 Ac 3.45-3.56, 1 Ho 3.60
7 Y 0.0583 0.1298 0.7477  7 Y 3.47-3.79, 1 Pm 3.60, 1 Ac 3.84, 1 Ho 3.86
8 Y 0.4417 0.2523 0.8702  7 Y 3.47-3.79, 1 Pm 3.60, 1 Ac 3.84, 1 Ho 3.86
9 Y 0.9417 0.8702 0.2523  7 Y 3.47-3.79, 1 Pm 3.60, 1 Ac 3.84, 1 Ho 3.86
10 Y 0.5583 0.7477 0.1298  7 Y 3.47-3.79, 1 Pm 3.60, 1 Ac 3.84, 1 Ho 3.86
11 Y 0.3164 0.9843 0.4392  5 Y 3.29-3.67, 2 Pm 3.46-3.57, 1 Ho 3.52, 1 Ac 3.68
12 Y 0.1836 0.5608 0.0157  5 Y 3.29-3.67, 2 Pm 3.46-3.57, 1 Ho 3.52, 1 Ac 3.68
13 Y 0.6836 0.0157 0.5608  5 Y 3.29-3.67, 2 Pm 3.46-3.57, 1 Ho 3.52, 1 Ac 3.68
14 Y 0.8164 0.4392 0.9843  5 Y 3.29-3.67, 2 Pm 3.46-3.57, 1 Ho 3.52, 1 Ac 3.68
15 Y 0.1146 0.7095 0.4933  4 Y 3.29-3.51, 3 Pm 3.30-3.48, 2 Ho 3.47-3.57
16 Y 0.3854 0.5067 0.2905  4 Y 3.29-3.51, 3 Pm 3.30-3.48, 2 Ho 3.47-3.57
17 Y 0.8854 0.2905 0.5067  4 Y 3.29-3.51, 3 Pm 3.30-3.48, 2 Ho 3.47-3.57
18 Y 0.6146 0.4933 0.7095  4 Y 3.29-3.51, 3 Pm 3.30-3.48, 2 Ho 3.47-3.57
19 Ho 0.2500 0.4107 0.5893  8 Y 3.47-3.86, 2 Pm 3.60
20 Ho 0.7500 0.5893 0.4107  8 Y 3.47-3.86, 2 Pm 3.60

=====

[2]
Entry from the Alexandria database: crystalline Nd4CdSe3 at its relaxed geometry (PBE).

space group = Cmmm, No. 65
E_form (uncorrected) = -1.416 eV per atom
crystal system = orthorhombic

a b c (Å): 4.2313 7.4713 7.4713
angles (deg): 108.85 90.00 90.00
Last column: nearest neighbours and their distance in Å.
Fractional coordinates of all 8 atoms:
1 Nd 0.0000 0.2608 0.2608  4 Se 2.97-3.04, 2 Cd 3.10
2 Nd 0.5000 0.7457 0.2543  5 Se 2.99-3.03, 1 Cd 3.09
3 Nd 0.0000 0.7392 0.7392  4 Se 2.97-3.04, 2 Cd 3.10
4 Nd 0.5000 0.2543 0.7457  5 Se 2.99-3.03, 1 Cd 3.09
5 Se 0.0000 0.0000 0.5000  6 Nd 3.03-3.04
6 Se 0.5000 0.5000 0.5000  6 Nd 2.97-2.99
7 Se 0.0000 0.5000 0.0000  6 Nd 3.03-3.04
8 Cd 0.5000 0.0000 0.0000  6 Nd 3.09-3.10

=====

[3]
Entry from the Alexandria database: crystalline HoMgPa at its relaxed geometry (PBE).

space group = P3m1, No. 156
formation energy = 145 meV/atom
crystal system = trigonal

a b c (Å): 3.2578 3.2578 8.6113
angles (deg): 90.00 90.00 120.00
Last column: nearest neighbours and their distance in Å.
Fractional coordinates of all 3 atoms:
1 Mg 0.3333 0.6667 0.6680  6 Mg 3.26, 3 Pa 3.42, 3 Ho 3.45
2 Pa 0.0000 0.0000 0.9995  6 Pa 3.26, 3 Mg 3.42, 3 Ho 3.43
3 Ho 0.6667 0.3333 0.3325  6 Ho 3.26, 3 Pa 3.43, 3 Mg 3.45

=====

[4]
Entry from the Alexandria database: crystalline TbBe2 at its relaxed geometry (PBE).

space group = C2/m, No. 12
formation energy = 227 meV/atom
crystal system = monoclinic

a b c (Å): 3.7758 3.7758 5.5999
angles (deg): 125.81 125.81 81.38
Last column: nearest neighbours and their distance in Å.
Fractional coordinates of all 3 atoms:
1 Be 0.2228 0.2228 0.3201  2 Be 2.07-2.29
2 Be 0.7772 0.7772 0.6799  2 Be 2.07-2.29
3 Tb 0.5000 0.5000 0.0000  8 Be 2.72-2.98

=====

Computed values of magnetization (unit: μB/f.u.) for the preceding records, in sequence: 0.00, 0.00, 0.00, 0.00.